! PBE with a Hubbard U CsTlFeF6, optimized geometry; values from VASP
! raw total energy = -40.815 eV per cell
! space-group type = C2 (5)
! magnetization = 4.00 μB per formula unit
&SYSTEM
  ibrav = 0, nat = 9, ntyp = 4
/
ATOMIC_SPECIES
F 19.00 F.upf
Fe 55.84 Fe.upf
Cs 132.91 Cs.upf
Tl 204.38 Tl.upf
ATOMIC_POSITIONS crystal
F 0.3947 0.9837 0.6794
F 0.3950 0.6178 0.3137
F 0.6180 0.3949 0.6861
F 0.6168 0.9902 0.3133
Fe 0.6654 0.6655 0.5000
F 0.9902 0.6167 0.6869
Cs 0.0013 0.0015 0.0000
Tl 0.3350 0.3352 0.5000
F 0.9835 0.3947 0.3206
CELL_PARAMETERS angstrom
-2.5090 -5.3118 0.2560
0.2141 -3.6278 -4.6238
5.4249 -2.4758 2.2171